No. 1
Material: LaTiAu2
Method: DFT, PBE
State: optimized geometry

Results
* energy of formation from the pure elements: -47.6 kJ/mol of atoms
* D(E_F): 4.13 states/eV/f.u.
* space-group type: P4/mmm (123)
* total energy: -5.337 eV per atom
* magnetic moment: 0.554 μB per cell
* mass density: 11.23 g cm⁻³
* ΔE to the lowest computed polymorph: 0 meV per atom

```
4
Lattice="3.378 0.000 0.000 0.000 3.378 0.000 0.000 0.000 7.523" Properties=species:S:1:pos:R:3 pbc="T T T"
La 0.000 0.000 0.000
Ti 0.000 0.000 3.761
Au 1.689 1.689 2.268
Au 1.689 1.689 5.255
```

No. 2
Material: BaLi2PdF
Method: DFT, PBE
State: optimized geometry

Results
* D(E_F): 1.85 states/eV/f.u.
* space-group type: P4/mmm (123)
* total energy: -3.766 eV per atom
* uncorrected formation energy: -1.203 eV/atom
* magnetic moment: 0.000 μB per cell
* mass density: 4.43 g cm⁻³

```
5
Lattice="4.351 0.000 0.000 0.000 4.351 0.000 0.000 0.000 5.481" Properties=species:S:1:pos:R:3 pbc="T T T"
Ba 0.000 0.000 0.000
Li 0.000 2.175 2.740
Li 2.175 0.000 2.740
Pd 2.175 2.175 0.000
F 0.000 0.000 2.740
```

No. 3
Material: Al13Pt2
Method: DFT, PBE
State: optimized geometry

Results
* energy of formation from the pure elements: -27.6 kJ/mol of atoms
* D(E_F): 4.27 states/eV/f.u.
* space-group type: P-1 (2)
* total energy: -4.335 eV per atom
* magnetic moment: 0.000 μB per cell
* mass density: 4.90 g cm⁻³

```
15
Lattice="5.050 0.000 0.000 0.644 6.345 0.000 1.221 2.544 7.830" Properties=species:S:1:pos:R:3 pbc="T T T"
Al 0.000 0.000 0.000
Al 1.279 4.672 5.434
Al 1.965 1.696 4.831
Al 2.745 6.316 7.264
Al 1.661 1.749 1.598
Al 3.539 3.558 6.894
Al 3.095 3.514 2.924
Al 3.819 5.375 4.906
Al 3.376 5.331 0.936
Al 5.253 7.141 6.231
Al 4.170 2.573 0.566
Al 4.949 7.193 2.999
Al 5.635 4.217 2.396
Pt 2.269 6.019 3.092
Pt 4.646 2.870 4.738
```

No. 4
Material: KFe2Hg
Method: DFT, PBE
State: optimized geometry

Results
* energy of formation from the pure elements: 63.8 kJ/mol of atoms
* D(E_F): 3.24 states/eV/f.u.
* space-group type: P2/m (10)
* total energy: -3.920 eV per atom
* magnetic moment: 5.768 μB per cell
* mass density: 5.96 g cm⁻³

```
4
Lattice="3.024 0.000 0.000 0.000 4.888 0.000 -0.805 0.000 6.623" Properties=species:S:1:pos:R:3 pbc="T T T"
K 0.000 0.000 0.000
Fe 0.315 2.444 4.176
Fe 1.904 2.444 2.446
Hg 1.110 0.000 3.311
```